A plane-wave DFT calculation with PBE+U was carried out for a geometry-optimized Tl2Fe4F structure.

Cell lengths 4.2892, 4.2892, 8.0039 Å; angles 74.46, 74.46, 90.00 degrees
Last column: magnetic moment on the atom in μB.
Element x y z (fractional)
Fe 0.0000 0.5000 0.0000  3.51
Fe 0.5000 0.0000 0.0000  3.51
Fe 0.1722 0.1722 0.6557  3.27
Fe 0.8278 0.8278 0.3443  3.27
F 0.0000 0.0000 0.0000  0.08
Tl 0.3578 0.3578 0.2843  -0.05
Tl 0.6422 0.6422 0.7157  -0.05

crystal system: tetragonal
symmetry: No. 139
uncorrected energy: -3.6635 eV/atom
magnetic moment: 13.48 μB per cell